1.
First-principles (SCAN) data for a PBEsol-optimized structure of ZrBeTc2, as listed in Alexandria.

## Properties
Uncorrected energy ... -0.9650 Ha/atom
Total magnetic moment ... 0.0 μB per cell
Theoretical density ... 8.49 g/cm3
Space group ... No. 12

Lattice parameters (Å, degrees): 5.378 8.655 2.737 90.00 114.60 90.00
Sites, in units of the cell vectors:
Zr: 0.000 0.000 0.000
Zr: 0.500 0.500 0.000
Be: 0.000 0.500 0.000
Be: 0.500 0.000 0.000
Tc: 0.250 0.250 0.500
Tc: 0.250 0.750 0.500
Tc: 0.750 0.250 0.500
Tc: 0.750 0.750 0.500

2.
First-principles (SCAN) data for a PBEsol-optimized structure of BeTe, as listed in Alexandria.

## Properties
Uncorrected energy ... -0.7348 Ha/atom
Total magnetic moment ... 0.0 μB per cell
Theoretical density ... 5.06 g/cm3
Excess energy over the best structure of this formula in the dataset ... 1250.8 meV per atom
Space group ... No. 194
Uncorrected formation energy ... 0.807 eV per atom

Lattice parameters (Å, degrees): 5.644 5.644 6.502 90.00 90.00 120.00
Sites, in units of the cell vectors:
Be: 0.333 0.667 0.102
Be: 0.333 0.667 0.398
Be: 0.667 0.333 0.602
Be: 0.667 0.333 0.898
Te: 0.000 0.000 0.250
Te: 0.000 0.000 0.750
Te: 0.333 0.667 0.750
Te: 0.667 0.333 0.250